<one>
A plane-wave DFT calculation with PBE was carried out for a relaxed structure of MgTcPH.

The structure in CIF format:
```
data_MgTcPH
_cell_length_a 3.2261
_cell_length_b 3.2261
_cell_length_c 17.1428
_cell_angle_alpha 90.00
_cell_angle_beta 90.00
_cell_angle_gamma 120.00
_space_group_name_H-M_alt 'R 3 m'
_space_group_IT_number 160
_space_group_name_Hall 'R 3 -2"'
loop_
_atom_site_label
_atom_site_type_symbol
_atom_site_fract_x
_atom_site_fract_y
_atom_site_fract_z
Mg1 Mg 0.0000 0.0000 0.0000
Tc1 Tc 0.0000 0.0000 0.1977
P1 P 0.0000 0.0000 0.7817
H1 H 0.0000 0.0000 0.2988
```

<two>
A plane-wave DFT calculation with PBE was carried out for a relaxed structure of MgTcPH.

The structure in CIF format:
```
data_MgTcPH
_cell_length_a 3.135
_cell_length_b 3.080
_cell_length_c 5.365
_cell_angle_alpha 90.00
_cell_angle_beta 90.31
_cell_angle_gamma 90.00
_space_group_name_H-M_alt 'P 1 m 1'
_space_group_IT_number 6
_space_group_name_Hall 'P -2y'
loop_
_atom_site_label
_atom_site_type_symbol
_atom_site_fract_x
_atom_site_fract_y
_atom_site_fract_z
Mg1 Mg 0.000 0.000 0.000
Tc1 Tc 0.494 0.000 0.575
P1 P 0.992 0.500 0.382
H1 H 0.495 0.500 0.791
```

Relative energy table, unit eV/atom: <one> 0.000; <two> 0.031